VASP calculation (PBE) on a relaxed SrLaSm2 crystal.

```
4
Lattice="3.767 0.000 0.000 0.000 3.767 0.000 0.000 0.000 10.844" Properties=species:S:1:pos:R:3 pbc="T T T"
Sr 0.000 0.000 0.000
La 0.000 0.000 5.422
Sm 1.883 1.883 2.965
Sm 1.883 1.883 7.879
```

Properties
The value obtained for the density of states at the Fermi level is 7.62 states/eV/cell. For the formation energy, the calculation gives 0.10 eV per atom. As for the crystal system: tetragonal. The energy above the lowest structure with this stoichiometry is 0.000 eV/atom.

VASP calculation (PBE) on a relaxed ReTe2PdN crystal.

```
5
Lattice="5.402 0.000 0.000 0.000 5.402 0.000 0.000 0.000 3.628" Properties=species:S:1:pos:R:3 pbc="T T T"
Re 0.000 0.000 0.000
Te 0.000 2.701 1.814
Te 2.701 0.000 1.814
Pd 2.701 2.701 1.814
N 2.701 2.701 0.000
```

Properties
The value obtained for the density of states at the Fermi level is 3.13 states/eV/cell. As for the crystal system: tetragonal. The energy above the lowest structure with this stoichiometry is 0.962 eV/atom. The uncorrected formation energy comes out at 1.3825 eV/atom.

VASP calculation (PBE) on a relaxed Sr3Ca13 crystal.

```
16
Lattice="7.946 0.000 0.000 0.000 6.530 6.853 0.000 -6.530 6.853" Properties=species:S:1:pos:R:3 pbc="T T T"
Sr 0.000 0.000 0.000
Sr 2.004 0.000 10.173
Sr 5.943 0.000 10.173
Ca 0.000 -3.299 9.102
Ca 0.000 0.000 6.722
Ca 0.000 3.299 9.102
Ca 2.001 -3.216 5.667
Ca 2.001 0.000 3.408
Ca 2.001 3.216 5.667
Ca 3.973 0.000 13.705
Ca 3.973 -3.350 9.061
Ca 3.973 0.000 6.727
Ca 3.973 3.350 9.061
Ca 5.945 -3.216 5.667
Ca 5.945 0.000 3.408
Ca 5.945 3.216 5.667
```

Properties
The value obtained for the density of states at the Fermi level is 15.67 states/eV/cell. For the formation energy, the calculation gives 0.01 eV per atom. As for the crystal system: orthorhombic. The energy above the lowest structure with this stoichiometry is 0.005 eV/atom.

Q: The lowest energy above the lowest structure with this stoichiometry belongs to which entry?
A: SrLaSm2